Record 1
A relaxed ZnOsPt2 crystal. Source: Alexandria via LeMat-Bulk, functional PBEsol.

Cell: 8.9739 2.7205 4.7557 Å, 90.00 98.80 90.00°
Element x y z (fractional)
Zn 0.0000 0.0000 0.0000
Zn 0.5000 0.5000 0.0000
Os 0.0000 0.5000 0.5000
Os 0.5000 0.0000 0.5000
Pt 0.2472 0.0000 0.7459
Pt 0.2528 0.5000 0.2541
Pt 0.7472 0.5000 0.7459
Pt 0.7528 0.0000 0.2541

N(E_F) = 6.52 states/eV per cell
V = 115 Å³ per cell
Space-group type = No. 12
E_form = 3 kJ/mol of atoms

---

Record 2
A relaxed LaY2Mg crystal. Source: Alexandria via LeMat-Bulk, functional PBEsol.

Cell: 3.6028 3.6028 9.2727 Å, 90.00 90.00 90.00°
Element x y z (fractional)
La 0.0000 0.0000 0.0000
Y 0.0000 0.0000 0.4695
Y 0.5000 0.5000 0.7275
Mg 0.5000 0.5000 0.2459

N(E_F) = 5.28 states/eV per cell
V = 120 Å³ per cell
Space-group type = No. 99
E_form = -2 kJ/mol of atoms

---

Record 3
A relaxed RbGaO2 crystal. Source: Alexandria via LeMat-Bulk, functional PBEsol.

Cell: 5.7735 5.7735 7.7129 Å, 90.00 90.00 90.00°
Element x y z (fractional)
Rb 0.0000 0.0000 0.0000
Rb 0.0000 0.5000 0.2500
Rb 0.5000 0.0000 0.7500
Rb 0.5000 0.5000 0.5000
Ga 0.0000 0.0000 0.5000
Ga 0.0000 0.5000 0.7500
Ga 0.5000 0.0000 0.2500
Ga 0.5000 0.5000 0.0000
O 0.1128 0.2500 0.6250
O 0.2500 0.6128 0.8750
O 0.2500 0.8872 0.3750
O 0.3872 0.2500 0.1250
O 0.6128 0.7500 0.1250
O 0.7500 0.1128 0.3750
O 0.7500 0.3872 0.8750
O 0.8872 0.7500 0.6250

N(E_F) = 0.00 states/eV per cell
V = 257 Å³ per cell
Space-group type = No. 122
Uncorrected formation energy = -1.83 eV/atom

---

Record 4
A relaxed BaYSb2 crystal. Source: Alexandria via LeMat-Bulk, functional PBEsol.

Cell: 3.8108 3.8108 8.4022 Å, 90.00 90.00 90.00°
Element x y z (fractional)
Ba 0.0000 0.0000 0.0000
Y 0.0000 0.0000 0.5000
Sb 0.5000 0.5000 0.2844
Sb 0.5000 0.5000 0.7156

N(E_F) = 2.65 states/eV per cell
V = 122 Å³ per cell
Space-group type = No. 123
Uncorrected formation energy = -0.90 eV/atom